PS4Br | PBE | relaxed

Results
Energy   -3.900 eV/atom
Formation energy (no corrections)   0.032 eV/atom
Energy relative to the lowest polymorph listed for this composition   0 meV/atom
Total magnetic moment   0.000 μB/atom
Space group   C2/c (15)

The structure in POSCAR format:
```
PS4Br
1.0
-4.117 -2.238 3.224
-1.879 -0.133 -4.548
8.028 -10.562 -1.072
P S Br
2 8 2
Direct
0.252 0.502 0.504
0.748 0.498 0.496
0.140 0.766 0.936
0.797 0.670 0.936
0.997 0.684 0.408
0.003 0.316 0.592
0.589 0.775 0.592
0.203 0.330 0.064
0.411 0.225 0.408
0.860 0.234 0.064
0.350 0.100 0.701
0.650 0.900 0.299
```